1.
A relaxed structure of NiBPd2. Source: the Alexandria database, functional PBE.

Properties
Symmetry: No. 122
Total DFT energy (no corrections) in eV for the cell shown: -45.2
Formation energy in eV per formula unit: 0.269

Lattice parameters (Å, degrees): 5.466 5.466 5.466 98.50 98.50 134.78
Fractional positions:
Ni: 0.000 0.000 0.000
Ni: 0.750 0.250 0.500
B: 0.250 0.750 0.500
B: 0.500 0.500 0.000
Pd: 0.243 0.625 0.118
Pd: 0.375 0.493 0.618
Pd: 0.507 0.125 0.882
Pd: 0.875 0.757 0.382

***

2.
A relaxed structure of NiB2Pd6. Source: the Alexandria database, functional PBE.

Properties
Symmetry: No. 15
Total DFT energy (no corrections) in eV for the cell shown: -101.1
Formation energy in eV per formula unit: -0.279

Lattice parameters (Å, degrees): 7.354 7.354 4.976 100.89 100.89 63.35
Fractional positions:
Ni: 0.249 0.751 0.750
Ni: 0.751 0.249 0.250
B: 0.248 0.252 0.501
B: 0.252 0.248 0.001
B: 0.748 0.752 0.999
B: 0.752 0.748 0.499
Pd: 0.034 0.174 0.685
Pd: 0.052 0.552 0.778
Pd: 0.174 0.034 0.185
Pd: 0.326 0.467 0.318
Pd: 0.448 0.948 0.722
Pd: 0.467 0.326 0.818
Pd: 0.533 0.674 0.182
Pd: 0.552 0.052 0.278
Pd: 0.674 0.533 0.682
Pd: 0.826 0.966 0.815
Pd: 0.948 0.448 0.222
Pd: 0.966 0.826 0.315

***

3.
A relaxed structure of Ni21B6Pd2. Source: the Alexandria database, functional PBE.

Properties
Symmetry: No. 225
Total DFT energy (no corrections) in eV for the cell shown: -177.6
Formation energy in eV per formula unit: -5.773

Lattice parameters (Å, degrees): 7.447 7.447 7.447 60.00 60.00 60.00
Fractional positions:
Ni: 0.000 0.000 0.000
Ni: 0.000 0.000 0.338
Ni: 0.000 0.000 0.662
Ni: 0.000 0.338 0.000
Ni: 0.000 0.338 0.662
Ni: 0.000 0.662 0.000
Ni: 0.000 0.662 0.338
Ni: 0.154 0.615 0.615
Ni: 0.338 0.000 0.000
Ni: 0.338 0.000 0.662
Ni: 0.338 0.662 0.000
Ni: 0.385 0.385 0.385
Ni: 0.385 0.385 0.846
Ni: 0.385 0.846 0.385
Ni: 0.615 0.154 0.615
Ni: 0.615 0.615 0.154
Ni: 0.615 0.615 0.615
Ni: 0.662 0.000 0.000
Ni: 0.662 0.000 0.338
Ni: 0.662 0.338 0.000
Ni: 0.846 0.385 0.385
B: 0.273 0.273 0.727
B: 0.273 0.727 0.273
B: 0.273 0.727 0.727
B: 0.727 0.273 0.273
B: 0.727 0.273 0.727
B: 0.727 0.727 0.273
Pd: 0.250 0.250 0.250
Pd: 0.750 0.750 0.750

***

4.
A relaxed structure of NiBPd2. Source: the Alexandria database, functional PBE.

Properties
Symmetry: No. 12
Total DFT energy (no corrections) in eV for the cell shown: -23.2
Formation energy in eV per formula unit: -0.373

Lattice parameters (Å, degrees): 4.819 4.819 3.983 113.54 113.54 37.27
Fractional positions:
Ni: 0.000 0.000 0.000
B: 0.000 0.000 0.500
Pd: 0.331 0.331 0.329
Pd: 0.669 0.669 0.671

***

5.
A relaxed structure of Ni4B2Pd. Source: the Alexandria database, functional PBE.

Properties
Symmetry: No. 46
Total DFT energy (no corrections) in eV for the cell shown: -85.2
Formation energy in eV per formula unit: -0.940

Lattice parameters (Å, degrees): 6.836 6.836 6.836 131.95 62.83 142.00
Fractional positions:
Ni: 0.181 0.006 0.187
Ni: 0.181 0.494 0.674
Ni: 0.362 0.720 0.142
Ni: 0.578 0.220 0.858
Ni: 0.819 0.506 0.326
Ni: 0.819 0.994 0.813
Ni: 0.965 0.217 0.248
Ni: 0.970 0.717 0.752
B: 0.276 0.276 0.000
B: 0.276 0.776 0.500
B: 0.501 0.994 0.007
B: 0.986 0.494 0.993
Pd: 0.374 0.243 0.630
Pd: 0.613 0.743 0.370

***

6.
A relaxed structure of NiBPd. Source: the Alexandria database, functional PBE.

Properties
Symmetry: No. 216
Total DFT energy (no corrections) in eV for the cell shown: -18.1
Formation energy in eV per formula unit: -0.414

Lattice parameters (Å, degrees): 3.628 3.628 3.628 60.00 60.00 60.00
Fractional positions:
Ni: 0.000 0.000 0.000
B: 0.250 0.250 0.250
Pd: 0.500 0.500 0.500

***

7.
A relaxed structure of Ni5B3Pd. Source: the Alexandria database, functional PBE.

Properties
Symmetry: No. 12
Total DFT energy (no corrections) in eV for the cell shown: -110.1
Formation energy in eV per formula unit: -0.910

Lattice parameters (Å, degrees): 5.532 5.532 7.278 109.15 109.15 70.74
Fractional positions:
Ni: 0.076 0.076 0.377
Ni: 0.143 0.536 0.321
Ni: 0.194 0.806 0.000
Ni: 0.268 0.268 0.971
Ni: 0.464 0.857 0.679
Ni: 0.536 0.143 0.321
Ni: 0.732 0.732 0.029
Ni: 0.806 0.194 0.000
Ni: 0.857 0.464 0.679
Ni: 0.924 0.924 0.623
B: 0.151 0.151 0.677
B: 0.168 0.168 0.169
B: 0.500 0.500 0.000
B: 0.500 0.500 0.500
B: 0.832 0.832 0.831
B: 0.849 0.849 0.323
Pd: 0.387 0.387 0.693
Pd: 0.613 0.613 0.307

***

8.
A relaxed structure of NiBPd. Source: the Alexandria database, functional PBE.

Properties
Symmetry: No. 11
Total DFT energy (no corrections) in eV for the cell shown: -36.5
Formation energy in eV per formula unit: -0.614

Lattice parameters (Å, degrees): 4.038 3.009 5.418 90.00 100.09 90.00
Fractional positions:
Ni: 0.174 0.250 0.154
Ni: 0.826 0.750 0.846
B: 0.362 0.750 0.964
B: 0.638 0.250 0.036
Pd: 0.278 0.250 0.648
Pd: 0.722 0.750 0.352

***

9.
A relaxed structure of NiB3Pd. Source: the Alexandria database, functional PBE.

Properties
Symmetry: No. 221
Total DFT energy (no corrections) in eV for the cell shown: -23.1
Formation energy in eV per formula unit: 7.943
Excess energy over the best structure of this formula in the dataset in meV per atom: 652.1

Lattice parameters (Å, degrees): 4.017 4.017 4.017 90.00 90.00 90.00
Fractional positions:
Ni: 0.000 0.000 0.000
B: 0.000 0.500 0.500
B: 0.500 0.000 0.500
B: 0.500 0.500 0.000
Pd: 0.500 0.500 0.500

***

10.
A relaxed structure of NiBPdRh2. Source: the Alexandria database, functional PBE.

Properties
Symmetry: No. 123
Total DFT energy (no corrections) in eV for the cell shown: -32.1
Formation energy in eV per formula unit: 0.215

Lattice parameters (Å, degrees): 4.085 4.085 3.883 90.00 90.00 90.00
Fractional positions:
Ni: 0.000 0.000 0.000
B: 0.000 0.000 0.500
Pd: 0.500 0.500 0.000
Rh: 0.000 0.500 0.500
Rh: 0.500 0.000 0.500

***

11.
A relaxed structure of NiBPd2Ru. Source: the Alexandria database, functional PBE.

Properties
Symmetry: No. 123
Total DFT energy (no corrections) in eV for the cell shown: -30.2
Formation energy in eV per formula unit: 1.872

Lattice parameters (Å, degrees): 4.159 4.159 3.883 90.00 90.00 90.00
Fractional positions:
Ni: 0.000 0.000 0.000
B: 0.000 0.000 0.500
Pd: 0.000 0.500 0.500
Pd: 0.500 0.000 0.500
Ru: 0.500 0.500 0.000

***

12.
A relaxed structure of ScNiB2Pd. Source: the Alexandria database, functional PBE.

Properties
Symmetry: No. 123
Total DFT energy (no corrections) in eV for the cell shown: -21.5
Formation energy in eV per formula unit: 9.147

Lattice parameters (Å, degrees): 4.330 4.330 4.702 90.00 90.00 90.00
Fractional positions:
Sc: 0.000 0.000 0.000
Ni: 0.500 0.500 0.500
B: 0.000 0.500 0.000
B: 0.500 0.000 0.000
Pd: 0.000 0.000 0.500